*P*
Density functional theory data (PBE+U) for a relaxed structure of CaMoO2.

abc: 6.508 6.508 6.508
angles: 30.31 30.31 30.31
Sites, in units of the cell vectors:
Mo 0.000 0.000 0.000
Ca 0.500 0.500 0.500
O 0.898 0.898 0.898
O 0.102 0.102 0.102


*Q*
Density functional theory data (PBE+U) for a relaxed structure of CaMoO2.

abc: 5.181 5.181 6.231
angles: 65.43 65.43 90.00
Sites, in units of the cell vectors:
Mo 0.000 0.000 0.000
Mo 0.750 0.250 0.500
Ca 0.500 0.500 0.000
Ca 0.250 0.750 0.500
O 0.640 0.125 0.250
O 0.110 0.625 0.250
O 0.375 0.360 0.750
O 0.875 0.890 0.750


*R*
Density functional theory data (PBE+U) for a relaxed structure of CaMoO2.

abc: 7.244 7.244 7.244
angles: 127.05 127.05 78.17
Sites, in units of the cell vectors:
Ca 0.375 0.625 0.250
Ca 0.375 0.125 0.750
Ca 0.375 0.625 0.750
Ca 0.875 0.625 0.250
Mo 0.875 0.125 0.250
Mo 0.875 0.625 0.750
Mo 0.875 0.125 0.750
Mo 0.375 0.125 0.250
O 0.139 0.408 0.732
O 0.676 0.408 0.268
O 0.158 0.926 0.768
O 0.611 0.842 0.768
O 0.158 0.389 0.232
O 0.074 0.842 0.232
O 0.592 0.324 0.732
O 0.592 0.861 0.268


In terms of stability, *R* leads; the second structure lies 168 meV per atom higher.


*P*
Density functional theory data (PBE+U) for a relaxed structure of Ca3MoO.

abc: 4.965 4.965 4.965
angles: 90.00 90.00 90.00
Sites, in units of the cell vectors:
Mo 0.500 0.500 0.500
Ca 0.000 0.500 0.000
Ca 0.000 0.000 0.500
Ca 0.500 0.000 0.000
O 0.000 0.000 0.000


*Q*
Density functional theory data (PBE+U) for a relaxed structure of Ca3MoO.

abc: 5.903 5.903 5.903
angles: 90.00 90.00 90.00
Sites, in units of the cell vectors:
Mo 0.000 0.000 0.000
Ca 0.000 0.500 0.000
Ca 0.000 0.000 0.500
Ca 0.500 0.000 0.000
O 0.500 0.500 0.500


In terms of stability, *P* leads; the second structure lies 1745 meV per atom higher.


*P*
Density functional theory data (PBE+U) for a relaxed structure of CaMo2O5.

abc: 3.593 5.174 13.064
angles: 90.00 90.00 90.00
Sites, in units of the cell vectors:
Ca 0.500 0.439 0.000
Ca 0.000 0.561 0.500
Mo 0.000 0.963 0.855
Mo 0.500 0.037 0.645
Mo 0.500 0.037 0.355
Mo 0.000 0.963 0.145
O 0.500 0.878 0.500
O 0.000 0.122 0.000
O 0.500 0.110 0.817
O 0.000 0.890 0.683
O 0.500 0.110 0.183
O 0.000 0.890 0.317
O 0.000 0.616 0.110
O 0.500 0.384 0.390
O 0.500 0.384 0.610
O 0.000 0.616 0.890


*Q*
Density functional theory data (PBE+U) for a relaxed structure of CaMo2O5.

abc: 5.903 5.903 11.573
angles: 90.00 90.00 137.82
Sites, in units of the cell vectors:
Ca 0.100 0.900 0.750
Ca 0.900 0.100 0.250
Mo 0.793 0.207 0.595
Mo 0.207 0.793 0.405
Mo 0.207 0.793 0.095
Mo 0.793 0.207 0.905
O 0.302 0.698 0.250
O 0.698 0.302 0.750
O 0.745 0.255 0.075
O 0.255 0.745 0.925
O 0.255 0.745 0.575
O 0.745 0.255 0.425
O 0.956 0.044 0.619
O 0.044 0.956 0.381
O 0.956 0.044 0.881
O 0.044 0.956 0.119


In terms of stability, *P* leads; the second structure lies 36 meV per atom higher.


*P*
Density functional theory data (PBE+U) for a relaxed structure of CaMo4O8.

abc: 6.667 6.667 6.667
angles: 57.90 57.90 57.90
Sites, in units of the cell vectors:
Ca 0.500 0.500 0.500
Mo 0.500 0.000 0.500
Mo 0.000 0.500 0.500
Mo 0.500 0.500 0.000
Mo 0.000 0.000 0.000
O 0.762 0.280 0.762
O 0.238 0.238 0.720
O 0.238 0.720 0.238
O 0.720 0.238 0.238
O 0.277 0.277 0.277
O 0.723 0.723 0.723
O 0.280 0.762 0.762
O 0.762 0.762 0.280


*Q*
Density functional theory data (PBE+U) for a relaxed structure of CaMo4O8.

abc: 3.292 7.211 7.302
angles: 87.39 78.08 79.09
Sites, in units of the cell vectors:
Ca 0.000 0.500 0.000
Mo 0.133 0.676 0.529
Mo 0.652 0.972 0.176
Mo 0.348 0.028 0.824
Mo 0.867 0.324 0.471
O 0.358 0.211 0.607
O 0.961 0.886 0.720
O 0.039 0.114 0.280
O 0.642 0.789 0.393
O 0.634 0.540 0.685
O 0.294 0.813 0.044
O 0.366 0.460 0.315
O 0.706 0.187 0.956


In terms of stability, *P* leads; the second structure lies 19 meV per atom higher.


*P*
Density functional theory data (PBE+U) for a relaxed structure of CaMoP2O.

abc: 4.880 4.880 3.883
angles: 90.00 90.00 90.00
Sites, in units of the cell vectors:
P 0.000 0.500 0.000
P 0.500 0.000 0.000
Mo 0.000 0.000 0.000
Ca 0.500 0.500 0.500
O 0.000 0.000 0.500


*Q*
Density functional theory data (PBE+U) for a relaxed structure of CaMoP2O.

abc: 5.267 5.267 4.130
angles: 90.00 90.00 90.00
Sites, in units of the cell vectors:
P 0.000 0.500 0.000
P 0.500 0.000 0.000
Mo 0.500 0.500 0.500
Ca 0.000 0.000 0.000
O 0.000 0.000 0.500


In terms of stability, *P* leads; the second structure lies 1270 meV per atom higher.


*P*
Density functional theory data (PBE+U) for a relaxed structure of CaMoPO2.

abc: 4.126 4.126 6.189
angles: 90.00 90.00 90.00
Sites, in units of the cell vectors:
P 0.000 0.000 0.500
Mo 0.500 0.500 0.500
Ca 0.000 0.000 0.000
O 0.000 0.500 0.000
O 0.500 0.000 0.000


*Q*
Density functional theory data (PBE+U) for a relaxed structure of CaMoPO2.

abc: 3.980 3.980 5.025
angles: 90.00 90.00 90.00
Sites, in units of the cell vectors:
P 0.000 0.000 0.500
Mo 0.000 0.000 0.000
Ca 0.500 0.500 0.500
O 0.000 0.500 0.000
O 0.500 0.000 0.000


In terms of stability, *Q* leads; the second structure lies 1314 meV per atom higher.